{
  "formula": "Al2InSi",
  "functional": "PBE-GGA",
  "state": "optimized geometry",
  "de_polymorph_mev_per_atom": 96,
  "e_form_raw_ev_per_fu": 1.1,
  "lattice": [[3.778, 0.000, 0.000], [0.000, 4.481, 0.000], [0.000, 0.000, 8.961]],
  "species": ["Al", "Al", "Al", "Al", "In", "In", "Si", "Si"],
  "fractional_positions": [[0.000, 0.000, 0.000], [0.000, 0.500, 0.238], [0.500, 0.000, 0.738], [0.500, 0.500, 0.500], [0.000, 0.500, 0.772], [0.500, 0.000, 0.272], [0.000, 0.000, 0.528], [0.500, 0.500, 0.028]]
}



{
  "formula": "AlInSi2",
  "functional": "PBE-GGA",
  "state": "optimized geometry",
  "de_polymorph_mev_per_atom": 148,
  "e_form_raw_ev_per_fu": 1.7,
  "lattice": [[3.740, 0.000, 0.000], [0.000, 4.941, 0.000], [0.000, 0.000, 8.139]],
  "species": ["Al", "Al", "In", "In", "Si", "Si", "Si", "Si"],
  "fractional_positions": [[0.000, 0.000, 0.000], [0.500, 0.500, 0.500], [0.000, 0.000, 0.500], [0.500, 0.500, 0.000], [0.000, 0.500, 0.270], [0.000, 0.500, 0.730], [0.500, 0.000, 0.230], [0.500, 0.000, 0.770]]
}



{
  "formula": "Al2InSi2",
  "functional": "PBE-GGA",
  "state": "optimized geometry",
  "e_form_raw_ev_per_fu": 1.0,
  "lattice": [[7.793, 0.000, 0.000], [0.000, 7.793, 0.000], [0.000, 0.000, 2.960]],
  "species": ["Al", "Al", "Al", "Al", "In", "In", "Si", "Si", "Si", "Si"],
  "fractional_positions": [[0.140, 0.360, 0.000], [0.360, 0.860, 0.000], [0.640, 0.140, 0.000], [0.860, 0.640, 0.000], [0.000, 0.000, 0.500], [0.500, 0.500, 0.500], [0.153, 0.653, 0.500], [0.347, 0.153, 0.500], [0.653, 0.847, 0.500], [0.847, 0.347, 0.500]]
}